Entry 1:
Compound: TlHgF2
Source: the Alexandria database
Functional: PBE-GGA
Structure: relaxed

Results
Calculated total energy in eV per atom: -3.0062
ΔE to the lowest computed polymorph in meV/atom: 14
Formation energy (no corrections) in meV/atom: -1404

Structure (POSCAR):
```
TlHgF2
1.0
3.869 -0.190 -0.043
-0.428 7.919 -0.758
-0.151 0.058 6.362
Tl F Hg
2 4 2
direct
0.730 0.770 0.790
0.276 0.240 0.734
0.274 0.936 0.969
0.686 0.995 0.479
0.803 0.436 0.905
0.387 0.385 0.364
0.852 0.539 0.268
0.249 0.829 0.315
```


Entry 2:
Compound: TlHg6F12
Source: the Alexandria database
Functional: PBE-GGA
Structure: relaxed

Results
Calculated total energy in eV per atom: -2.8102
Formation energy (no corrections) in meV/atom: -1408

Structure (POSCAR):
```
TlHg6F12
1.0
-0.688 -3.023 -6.432
5.481 -3.639 2.776
-5.558 -2.750 3.540
F Hg Tl
12 6 1
direct
0.429 0.561 0.181
0.097 0.653 0.929
0.571 0.439 0.819
0.929 0.097 0.653
0.071 0.903 0.347
0.347 0.071 0.903
0.561 0.181 0.429
0.819 0.571 0.439
0.653 0.929 0.097
0.439 0.819 0.571
0.181 0.429 0.561
0.903 0.347 0.071
0.304 0.149 0.600
0.696 0.851 0.400
0.600 0.304 0.149
0.149 0.600 0.304
0.400 0.696 0.851
0.851 0.400 0.696
0.000 0.000 0.000
```


Entry 3:
Compound: TlHg2F
Source: the Alexandria database
Functional: PBE-GGA
Structure: relaxed

Results
Calculated total energy in eV per atom: -2.0714
ΔE to the lowest computed polymorph in meV/atom: 0
Formation energy (no corrections) in meV/atom: -861

Structure (POSCAR):
```
TlHg2F
1.0
-0.369 3.770 -0.226
-3.669 -0.305 0.902
3.870 1.309 16.183
Hg Tl F
4 2 2
direct
0.252 0.750 0.797
0.748 0.250 0.203
0.249 0.750 0.068
0.751 0.250 0.932
0.750 0.750 0.594
0.250 0.250 0.406
0.250 0.250 0.555
0.750 0.750 0.445
```


Entry 4:
Compound: TlHgF2
Source: the Alexandria database
Functional: PBE-GGA
Structure: relaxed

Results
Calculated total energy in eV per atom: -2.8538
ΔE to the lowest computed polymorph in meV/atom: 167
Formation energy (no corrections) in meV/atom: -1251

Structure (POSCAR):
```
TlHgF2
1.0
-2.284 -5.668 -0.542
5.693 -2.264 -0.311
1.783 -4.520 5.040
Tl F Hg
2 4 2
direct
0.000 0.000 0.000
0.750 0.250 0.500
0.156 0.625 0.250
0.594 0.125 0.250
0.875 0.844 0.750
0.375 0.406 0.750
0.250 0.750 0.500
0.500 0.500 0.000
```


Entry 5:
Compound: Tl2HgF8
Source: the Alexandria database
Functional: PBE-GGA
Structure: relaxed

Results
Calculated total energy in eV per atom: -3.5065
ΔE to the lowest computed polymorph in meV/atom: 0
Formation energy (no corrections) in meV/atom: -1688

Structure (POSCAR):
```
Tl2HgF8
1.0
5.336 -0.280 -0.213
-0.518 5.917 0.057
-0.518 1.648 5.683
Hg F Tl
1 8 2
direct
0.000 0.000 0.000
0.750 0.553 0.553
0.666 0.669 0.049
0.666 0.049 0.669
0.141 0.801 0.801
0.250 0.447 0.447
0.859 0.199 0.199
0.334 0.951 0.331
0.334 0.331 0.951
0.552 0.320 0.320
0.448 0.680 0.680
```


Entry 6:
Compound: TlHgF
Source: the Alexandria database
Functional: PBE-GGA
Structure: relaxed

Results
Calculated total energy in eV per atom: -2.5838
ΔE to the lowest computed polymorph in meV/atom: 76
Formation energy (no corrections) in meV/atom: -1071

Structure (POSCAR):
```
TlHgF
1.0
3.638 0.000 0.000
0.000 3.638 0.000
-1.819 -1.819 6.245
F Hg Tl
1 1 1
direct
0.282 0.282 0.564
0.996 0.996 0.992
0.722 0.722 0.444
```


Entry 7:
Compound: Tl5Hg12F3
Source: the Alexandria database
Functional: PBE-GGA
Structure: relaxed

Results
Calculated total energy in eV per atom: -1.3643
Formation energy (no corrections) in meV/atom: -311

Structure (POSCAR):
```
Tl5Hg12F3
1.0
15.083 0.000 0.000
-5.028 14.220 0.000
-5.028 -7.110 12.315
Hg Tl F
48 20 12
direct
0.332 0.584 0.455
0.753 0.624 0.168
0.455 0.371 0.624
0.545 0.629 0.376
0.747 0.416 0.371
0.584 0.253 0.129
0.124 0.955 0.371
0.871 0.247 0.416
0.376 0.129 0.545
0.124 0.168 0.253
0.876 0.045 0.629
0.624 0.753 0.668
0.045 0.168 0.416
0.247 0.376 0.832
0.955 0.124 0.871
0.629 0.084 0.253
0.916 0.545 0.168
0.832 0.876 0.247
0.129 0.376 0.045
0.084 0.629 0.753
0.416 0.747 0.871
0.629 0.545 0.876
0.045 0.876 0.129
0.584 0.332 0.955
0.747 0.332 0.876
0.876 0.832 0.747
0.332 0.747 0.376
0.871 0.624 0.955
0.668 0.416 0.545
0.247 0.871 0.916
0.955 0.832 0.584
0.668 0.253 0.624
0.416 0.668 0.045
0.084 0.455 0.832
0.376 0.247 0.332
0.624 0.871 0.455
0.253 0.668 0.124
0.832 0.955 0.084
0.168 0.124 0.753
0.753 0.129 0.084
0.129 0.753 0.584
0.371 0.455 0.124
0.168 0.045 0.916
0.253 0.584 0.629
0.371 0.916 0.747
0.455 0.084 0.332
0.545 0.916 0.668
0.916 0.371 0.247
0.000 0.000 0.500
0.000 0.000 0.000
0.000 0.500 0.500
0.250 0.375 0.625
0.875 0.250 0.625
0.625 0.875 0.250
0.250 0.875 0.125
0.750 0.625 0.375
0.375 0.250 0.125
0.500 0.500 0.500
0.500 0.500 0.000
0.125 0.375 0.250
0.000 0.500 0.000
0.625 0.750 0.875
0.500 0.000 0.000
0.875 0.625 0.750
0.750 0.125 0.875
0.375 0.125 0.750
0.125 0.750 0.375
0.500 0.000 0.500
0.250 0.625 0.875
0.875 0.125 0.250
0.375 0.625 0.250
0.750 0.875 0.625
0.250 0.125 0.375
0.125 0.250 0.875
0.375 0.750 0.625
0.875 0.750 0.125
0.625 0.375 0.750
0.750 0.375 0.125
0.125 0.875 0.750
0.625 0.250 0.375
```


Entry 8:
Compound: Tl2Hg2F
Source: the Alexandria database
Functional: PBE-GGA
Structure: relaxed

Results
Calculated total energy in eV per atom: -1.9077
ΔE to the lowest computed polymorph in meV/atom: 143
Formation energy (no corrections) in meV/atom: -466

Structure (POSCAR):
```
Tl2Hg2F
1.0
4.054 0.000 0.000
0.000 4.054 0.000
2.027 2.027 8.963
F Tl Hg
1 2 2
direct
0.000 0.000 0.000
0.584 0.584 0.831
0.416 0.416 0.169
0.750 0.250 0.500
0.250 0.750 0.500
```


Entry 9:
Compound: Tl2HgF2
Source: the Alexandria database
Functional: PBE-GGA
Structure: relaxed

Results
Calculated total energy in eV per atom: -3.1478
Formation energy (no corrections) in meV/atom: -1392

Structure (POSCAR):
```
Tl2HgF2
1.0
-4.135 -1.372 0.307
0.245 -1.643 -4.039
0.379 -7.900 0.875
Tl F Hg
2 2 1
direct
0.343 0.343 0.313
0.657 0.657 0.687
0.750 0.250 0.500
0.250 0.750 0.500
0.000 0.000 0.000
```


Entry 10:
Compound: TlHgF5
Source: the Alexandria database
Functional: PBE-GGA
Structure: relaxed

Results
Calculated total energy in eV per atom: -3.3424
Formation energy (no corrections) in meV/atom: -1625

Structure (POSCAR):
```
TlHgF5
1.0
-4.962 3.192 -0.266
-4.507 -3.714 0.879
-3.201 1.089 7.845
Tl Hg F
2 2 10
direct
0.000 0.000 0.000
0.000 0.000 0.500
0.467 0.533 0.250
0.533 0.467 0.750
0.309 0.197 0.859
0.730 0.329 0.025
0.671 0.270 0.475
0.691 0.803 0.141
0.095 0.905 0.250
0.905 0.095 0.750
0.803 0.691 0.641
0.329 0.730 0.525
0.270 0.671 0.975
0.197 0.309 0.359
```


Entry 11:
Compound: TlHg6F8
Source: the Alexandria database
Functional: PBE-GGA
Structure: relaxed

Results
Calculated total energy in eV per atom: -2.3569
Formation energy (no corrections) in meV/atom: -1080

Structure (POSCAR):
```
TlHg6F8
1.0
-3.342 -2.580 -5.852
3.480 -0.273 -6.316
2.007 -6.484 -2.737
F Hg Tl
8 6 1
direct
0.906 0.496 0.366
0.233 0.906 0.366
0.496 0.233 0.366
0.352 0.352 0.943
0.767 0.094 0.634
0.504 0.767 0.634
0.648 0.648 0.057
0.094 0.504 0.634
0.730 0.413 0.771
0.914 0.270 0.229
0.086 0.730 0.771
0.587 0.914 0.229
0.270 0.587 0.229
0.413 0.086 0.771
0.000 0.000 0.000
```


Entry 12:
Compound: Tl2Hg2F
Source: the Alexandria database
Functional: PBE-GGA
Structure: relaxed

Results
Calculated total energy in eV per atom: -2.0506
ΔE to the lowest computed polymorph in meV/atom: 0
Formation energy (no corrections) in meV/atom: -609

Structure (POSCAR):
```
Tl2Hg2F
1.0
7.271 0.000 0.000
0.000 7.271 0.000
0.000 0.000 5.416
Hg Tl F
4 4 2
direct
0.345 0.155 0.500
0.155 0.655 0.500
0.655 0.845 0.500
0.845 0.345 0.500
0.180 0.320 0.000
0.820 0.680 0.000
0.680 0.180 0.000
0.320 0.820 0.000
0.500 0.500 0.000
0.000 0.000 0.000
```


Entry 13:
Compound: TlHg2F
Source: the Alexandria database
Functional: PBE-GGA
Structure: relaxed

Results
Calculated total energy in eV per atom: -1.7732
ΔE to the lowest computed polymorph in meV/atom: 298
Formation energy (no corrections) in meV/atom: -563

Structure (POSCAR):
```
TlHg2F
1.0
0.000 3.718 3.718
3.718 0.000 3.718
3.718 3.718 0.000
Hg F Tl
2 1 1
direct
0.250 0.250 0.250
0.750 0.750 0.750
0.000 0.000 0.000
0.500 0.500 0.500
```


Entry 14:
Compound: TlHg2F
Source: the Alexandria database
Functional: PBE-GGA
Structure: relaxed

Results
Calculated total energy in eV per atom: -1.8784
ΔE to the lowest computed polymorph in meV/atom: 193
Formation energy (no corrections) in meV/atom: -668

Structure (POSCAR):
```
TlHg2F
1.0
8.472 0.000 0.000
0.000 8.472 0.000
4.236 4.236 2.890
F Hg Tl
2 4 2
direct
0.250 0.750 0.500
0.500 0.500 0.000
0.375 0.416 0.750
0.584 0.125 0.250
0.875 0.834 0.750
0.166 0.625 0.250
0.750 0.250 0.500
0.000 0.000 0.000
```


Entry 15:
Compound: TlHgF2
Source: the Alexandria database
Functional: PBE-GGA
Structure: relaxed

Results
Calculated total energy in eV per atom: -2.8111
ΔE to the lowest computed polymorph in meV/atom: 209
Formation energy (no corrections) in meV/atom: -1208

Structure (POSCAR):
```
TlHgF2
1.0
-7.888 -1.580 -1.771
-6.913 -4.460 0.416
-7.913 -1.195 1.954
F Tl Hg
2 1 1
direct
0.904 0.904 0.904
0.096 0.096 0.096
0.500 0.500 0.500
0.000 0.000 0.000
```


Entry 16:
Compound: UTlHg2F6
Source: the Alexandria database
Functional: PBE-GGA
Structure: relaxed

Results
Calculated total energy in eV per atom: -5.0630
Formation energy (no corrections) in meV/atom: -2514

Structure (POSCAR):
```
UTlHg2F6
1.0
7.133 0.000 0.000
3.566 6.177 0.000
3.566 2.059 5.824
F U Hg Tl
6 1 2 1
direct
0.792 0.208 0.208
0.792 0.792 0.208
0.208 0.208 0.792
0.792 0.208 0.792
0.208 0.792 0.792
0.208 0.792 0.208
0.000 0.000 0.000
0.750 0.750 0.750
0.250 0.250 0.250
0.500 0.500 0.500
```